Crystalline CoPd2Pt2 at its relaxed geometry. Source: OQMD, functional PBE-GGA.

Its calculated volume is 17.15 A^3/atom. The final energy is -5.376 eV/atom. The value obtained for the formation enthalpy at 0 K is 0.538 eV per atom.

It has space group I4/mmm (No. 139), with a = 3.596 Å, b = 3.596 Å, c = 13.258 Å, α = 90.00°, β = 90.00° and γ = 90.00°. Symmetry generates all atoms from Co at (0.000, 0.000, 0.000), Pd at (0.000, 0.000, 0.405) and Pt at (0.000, 0.500, 0.250).

=====

Crystalline Co2PdPt2 at its relaxed geometry. Source: OQMD, functional PBE-GGA.

Its calculated volume is 15.38 A^3/atom. The final energy is -6.032 eV/atom. The value obtained for the formation enthalpy at 0 K is 0.268 eV per atom.

It has space group I4/mmm (No. 139), with a = 3.776 Å, b = 3.776 Å, c = 10.785 Å, α = 90.00°, β = 90.00° and γ = 90.00°. Symmetry generates all atoms from Co at (0.000, 0.000, 0.097), Pd at (0.000, 0.000, 0.500) and Pt at (0.000, 0.500, 0.250).

=====

Crystalline Co3Pd3Pt2 at its relaxed geometry. Source: OQMD, functional PBE-GGA.

Its calculated volume is 13.95 A^3/atom. The final energy is -6.132 eV/atom. The value obtained for the formation enthalpy at 0 K is -0.012 eV per atom.

It has space group Cmmm (No. 65), with a = 7.594 Å, b = 7.745 Å, c = 3.796 Å, α = 90.00°, β = 90.00° and γ = 90.00°. Symmetry generates all atoms from Co at (0.000, 0.000, 0.000), Co at (0.000, 0.246, 0.500), Pd at (0.000, 0.500, 0.000), Pd at (0.238, 0.000, 0.500) and Pt at (0.250, 0.250, 0.000).

=====

Crystalline CoSiPdPt at its relaxed geometry. Source: OQMD, functional PBE-GGA.

Its calculated volume is 13.73 A^3/atom. The calculation puts the polymorph energy (0 for the lowest one) at 0.000 eV/atom. The final energy is -6.101 eV/atom.

It has space group F-43m (No. 216), with a = 6.033 Å, b = 6.033 Å, c = 6.033 Å, α = 90.00°, β = 90.00° and γ = 90.00°. Symmetry generates all atoms from Co at (0.000, 0.000, 0.000), Si at (0.250, 0.250, 0.750), Pd at (0.250, 0.250, 0.250) and Pt at (0.000, 0.000, 0.500).

=====

Crystalline CoSnPdPt at its relaxed geometry. Source: OQMD, functional PBE-GGA.

Its calculated volume is 15.77 A^3/atom. The final energy is -5.720 eV/atom.

It has space group F-43m (No. 216), with a = 6.319 Å, b = 6.319 Å, c = 6.319 Å, α = 90.00°, β = 90.00° and γ = 90.00°. Symmetry generates all atoms from Co at (0.000, 0.000, 0.000), Sn at (0.250, 0.250, 0.750), Pd at (0.250, 0.250, 0.250) and Pt at (0.000, 0.000, 0.500).

=====

Crystalline PuCoPd at its relaxed geometry. Source: OQMD, functional PBE-GGA.

Its calculated volume is 17.86 A^3/atom. The final energy is -8.802 eV/atom. The value obtained for the formation enthalpy at 0 K is 0.001 eV per atom.

It has space group F-43m (No. 216), with a = 5.984 Å, b = 5.984 Å, c = 5.984 Å, α = 90.00°, β = 90.00° and γ = 90.00°. Symmetry generates all atoms from Pu at (0.000, 0.000, 0.000), Co at (0.250, 0.250, 0.750) and Pd at (0.000, 0.000, 0.500).

=====

final energy of number 5 (CoSnPdPt)? -5.720 eV/atom